(1)
## Nd2Cu4Ge3Pd (PBE-GGA)

Data for a geometry-optimized Nd2Cu4Ge3Pd structure.

Summary:
The symmetry is P-4m2. Its total DFT energy (no corrections) is -5.00 eV/atom.

a = 4.2223 Å, b = 4.2223 Å, c = 10.0211 Å
α = 90.00°, β = 90.00°, γ = 90.00°
Fractional positions:
Nd  0.0000  0.5000  0.2470
Nd  0.5000  0.0000  0.7530
Cu  0.0000  0.0000  0.0000
Cu  0.0000  0.5000  0.6349
Cu  0.5000  0.0000  0.3651
Cu  0.5000  0.5000  0.0000
Ge  0.0000  0.5000  0.8709
Ge  0.5000  0.0000  0.1291
Ge  0.5000  0.5000  0.5000
Pd  0.0000  0.0000  0.5000

=====

(2)
## LaAl2InPd5 (PBE-GGA)

Data for a geometry-optimized LaAl2InPd5 structure.

Summary:
The symmetry is P4/mmm. Its total DFT energy (no corrections) is -5.16 eV/atom.

a = 4.2350 Å, b = 4.2350 Å, c = 9.3853 Å
α = 90.00°, β = 90.00°, γ = 90.00°
Fractional positions:
La  0.0000  0.0000  0.0000
Al  0.5000  0.5000  0.3645
Al  0.5000  0.5000  0.6355
In  0.0000  0.0000  0.5000
Pd  0.0000  0.5000  0.2304
Pd  0.0000  0.5000  0.7696
Pd  0.5000  0.0000  0.2304
Pd  0.5000  0.0000  0.7696
Pd  0.5000  0.5000  0.0000

=====

(3)
## HoCuNiAu (PBE-GGA)

Data for a geometry-optimized HoCuNiAu structure.

Summary:
The symmetry is F-43m. Its total DFT energy (no corrections) is -4.78 eV/atom.

a = 4.5530 Å, b = 4.5530 Å, c = 4.5530 Å
α = 60.00°, β = 60.00°, γ = 60.00°
Fractional positions:
Ho  0.0000  0.0000  0.0000
Cu  0.2500  0.2500  0.2500
Ni  0.7500  0.7500  0.7500
Au  0.5000  0.5000  0.5000

=====

(4)
## Pu2PtRh4 (PBE-GGA)

Data for a geometry-optimized Pu2PtRh4 structure.

Summary:
The symmetry is I4/mmm. Its total DFT energy (no corrections) is -9.51 eV/atom.

a = 9.3793 Å, b = 9.3793 Å, c = 9.3793 Å
α = 156.54°, β = 156.54°, γ = 33.42°
Fractional positions:
Pu  0.0995  0.0995  0.0000
Pu  0.9005  0.9005  0.0000
Pt  0.5000  0.5000  0.0000
Rh  0.2500  0.7500  0.5000
Rh  0.3539  0.3539  0.0000
Rh  0.6461  0.6461  0.0000
Rh  0.7500  0.2500  0.5000